Record 1
{"formula": "Tl2CdPb9", "functional": "PBE-GGA", "state": "optimized geometry", "n_ef_per_ev_cell": 5.4, "magmom_total_mub_per_fu": 0.00, "e_form_ev_per_atom": 0.01, "cell": [[-3.205, -3.598, -1.311], [3.349, -3.463, 1.315], [-5.503, -0.104, 13.742]], "species": ["Tl", "Tl", "Cd", "Pb", "Pb", "Pb", "Pb", "Pb", "Pb", "Pb", "Pb", "Pb"], "fractional_positions": [[0.000, 0.000, 0.331], [0.000, 0.000, 0.669], [0.000, 0.000, 0.000], [0.500, 0.500, 0.000], [0.500, 0.500, 0.330], [0.500, 0.500, 0.670], [0.500, 0.000, 0.160], [0.500, 0.000, 0.500], [0.500, 0.000, 0.840], [0.000, 0.500, 0.160], [0.000, 0.500, 0.500], [0.000, 0.500, 0.840]]}

=====

Record 2
{"formula": "SrLa2Pb", "functional": "PBE-GGA", "state": "optimized geometry", "n_ef_per_ev_cell": 5.0, "magmom_total_mub_per_fu": 0.00, "e_form_ev_per_atom": -0.27, "cell": [[-4.922, -0.294, 1.514], [0.930, -4.604, 2.131], [1.245, 2.335, 4.499]], "species": ["La", "La", "Pb", "Sr"], "fractional_positions": [[0.000, 0.000, 0.000], [0.500, 0.500, 0.000], [0.500, 0.000, 0.500], [0.000, 0.500, 0.500]]}

=====

Record 3
{"formula": "Cs2NdTlSe4", "functional": "PBE-GGA", "state": "optimized geometry", "n_ef_per_ev_cell": 3.7, "magmom_total_mub_per_fu": 0.00, "raw_formation_energy_ev_per_atom": -1.048, "cell": [[9.216, -0.242, 0.011], [-0.248, 9.216, 0.011], [-4.380, -4.383, 6.650]], "species": ["Cs", "Cs", "Cs", "Cs", "Nd", "Nd", "Tl", "Tl", "Se", "Se", "Se", "Se", "Se", "Se", "Se", "Se"], "fractional_positions": [[0.500, 0.000, 0.000], [0.500, 0.000, 0.500], [0.000, 0.000, 0.500], [0.500, 0.500, 0.000], [0.000, 0.500, 0.000], [0.000, 0.500, 0.500], [0.500, 0.500, 0.500], [0.000, 0.000, 0.000], [0.196, 0.720, 0.952], [0.780, 0.304, 0.548], [0.220, 0.696, 0.452], [0.804, 0.280, 0.048], [0.789, 0.751, 0.977], [0.749, 0.711, 0.523], [0.251, 0.289, 0.477], [0.211, 0.249, 0.023]]}

=====

Record 4
{"formula": "Be3Ru", "functional": "PBE-GGA", "state": "optimized geometry", "n_ef_per_ev_cell": 3.6, "magmom_total_mub_per_fu": 0.00, "e_form_ev_per_atom": -0.31, "cell": [[4.660, 0.166, 0.226], [-2.104, 4.161, -0.226], [-2.149, -1.649, 3.802]], "species": ["Be", "Be", "Be", "Be", "Be", "Be", "Ru", "Ru"], "fractional_positions": [[0.997, 0.747, 0.750], [0.003, 0.253, 0.250], [0.500, 0.267, 0.267], [0.000, 0.733, 0.233], [0.500, 0.733, 0.733], [0.000, 0.267, 0.767], [0.475, 0.225, 0.750], [0.525, 0.775, 0.250]]}

=====

Record 5
{"formula": "Ac4GaRu", "functional": "PBE-GGA", "state": "optimized geometry", "n_ef_per_ev_cell": 11.0, "magmom_total_mub_per_fu": 0.00, "de_polymorph_mev_per_atom": 41.4, "e_form_ev_per_atom": -0.20, "cell": [[-3.859, 1.211, 6.163], [5.721, -4.729, 2.632], [3.544, 8.044, -2.831]], "species": ["Ac", "Ac", "Ac", "Ac", "Ac", "Ac", "Ac", "Ac", "Ga", "Ga", "Ru", "Ru"], "fractional_positions": [[0.290, 0.954, 0.581], [0.031, 0.797, 0.079], [0.209, 0.373, 0.419], [0.453, 0.718, 0.921], [0.710, 0.046, 0.419], [0.791, 0.627, 0.581], [0.969, 0.203, 0.921], [0.547, 0.282, 0.079], [0.371, 0.621, 0.241], [0.629, 0.379, 0.759], [0.833, 0.083, 0.165], [0.167, 0.917, 0.835]]}

=====

Record 6
{"formula": "CdH4Pd6", "functional": "PBE-GGA", "state": "optimized geometry", "n_ef_per_ev_cell": 7.1, "magmom_total_mub_per_fu": 0.00, "energy_ev_per_cell": -92.94, "cell": [[-2.676, 2.894, 2.915], [-1.967, -4.382, 1.310], [7.325, -0.985, 7.702]], "species": ["Cd", "Cd", "H", "H", "H", "H", "H", "H", "H", "H", "Pd", "Pd", "Pd", "Pd", "Pd", "Pd", "Pd", "Pd", "Pd", "Pd", "Pd", "Pd"], "fractional_positions": [[0.536, 0.172, 0.250], [0.464, 0.828, 0.750], [0.922, 0.571, 0.609], [0.477, 0.722, 0.113], [0.078, 0.429, 0.391], [0.523, 0.278, 0.887], [0.922, 0.571, 0.891], [0.078, 0.429, 0.109], [0.523, 0.278, 0.613], [0.477, 0.722, 0.387], [0.500, 0.000, 0.000], [0.500, 0.000, 0.500], [0.018, 0.074, 0.376], [0.982, 0.926, 0.624], [0.982, 0.926, 0.876], [0.018, 0.074, 0.124], [0.755, 0.548, 0.431], [0.245, 0.452, 0.569], [0.245, 0.452, 0.931], [0.755, 0.548, 0.069], [0.243, 0.623, 0.250], [0.757, 0.377, 0.750]]}

=====

Record 7
{"formula": "CrGeTe2", "functional": "PBE-GGA", "state": "optimized geometry", "n_ef_per_ev_cell": 1.8, "magmom_total_mub_per_fu": 4.02, "raw_formation_energy_ev_per_atom": 0.414, "cell": [[7.545, -4.092, 1.892], [8.571, -1.482, -1.262], [8.365, -0.031, 2.696]], "species": ["Cr", "Ge", "Te", "Te"], "fractional_positions": [[0.000, 0.000, 0.000], [0.500, 0.500, 0.500], [0.897, 0.897, 0.897], [0.103, 0.103, 0.103]]}

=====

Record 8
{"formula": "NdCdIn3", "functional": "PBE-GGA", "state": "optimized geometry", "n_ef_per_ev_cell": 2.7, "magmom_total_mub_per_fu": 0.00, "de_polymorph_mev_per_atom": 0.0, "e_form_ev_per_atom": -0.21, "cell": [[4.627, 0.000, 0.000], [0.000, 7.534, 0.000], [0.000, 0.000, 7.767]], "species": ["Nd", "Nd", "Cd", "Cd", "In", "In", "In", "In", "In", "In"], "fractional_positions": [[0.500, 0.000, 0.190], [0.000, 0.500, 0.810], [0.000, 0.000, 0.519], [0.500, 0.500, 0.481], [0.000, 0.699, 0.279], [0.500, 0.801, 0.721], [0.500, 0.199, 0.721], [0.000, 0.301, 0.279], [0.000, 0.000, 0.905], [0.500, 0.500, 0.095]]}

=====

Record 9
{"formula": "RbZrF2", "functional": "PBE-GGA", "state": "optimized geometry", "n_ef_per_ev_cell": 3.0, "magmom_total_mub_per_fu": 0.00, "de_polymorph_mev_per_atom": 500.1, "raw_formation_energy_ev_per_atom": -1.699, "cell": [[1.861, 0.000, 8.510], [-0.931, 1.612, 8.510], [-0.931, -1.612, 8.510]], "species": ["Rb", "Zr", "F", "F"], "fractional_positions": [[0.000, 0.000, 0.000], [0.500, 0.500, 0.500], [0.897, 0.897, 0.897], [0.103, 0.103, 0.103]]}

=====

Record 10
{"formula": "Na5Cd2O4", "functional": "PBE-GGA", "state": "optimized geometry", "n_ef_per_ev_cell": 1.5, "magmom_total_mub_per_fu": 0.00, "raw_formation_energy_ev_per_atom": -0.463, "cell": [[-0.743, -0.662, -3.357], [-4.958, -8.740, 2.820], [-3.867, 5.380, 1.621]], "species": ["Na", "Na", "Na", "Na", "Na", "Cd", "Cd", "O", "O", "O", "O"], "fractional_positions": [[0.737, 0.615, 0.474], [0.263, 0.385, 0.526], [0.822, 0.145, 0.644], [0.500, 0.000, 0.000], [0.178, 0.855, 0.356], [0.483, 0.673, 0.966], [0.517, 0.327, 0.034], [0.126, 0.482, 0.252], [0.872, 0.371, 0.745], [0.874, 0.518, 0.748], [0.128, 0.629, 0.255]]}

=====

Record 11
{"formula": "Ba3Ga5I12", "functional": "PBE-GGA", "state": "optimized geometry", "n_ef_per_ev_cell": 45.6, "magmom_total_mub_per_fu": 0.00, "raw_formation_energy_ev_per_atom": -0.929, "cell": [[16.910, 0.000, 0.000], [-5.637, 15.942, 0.000], [-5.637, -7.971, 13.807]], "species": ["Ba", "Ba", "Ba", "Ba", "Ba", "Ba", "Ba", "Ba", "Ba", "Ba", "Ba", "Ba", "Ga", "Ga", "Ga", "Ga", "Ga", "Ga", "Ga", "Ga", "Ga", "Ga", "Ga", "Ga", "Ga", "Ga", "Ga", "Ga", "Ga", "Ga", "Ga", "Ga", "I", "I", "I", "I", "I", "I", "I", "I", "I", "I", "I", "I", "I", "I", "I", "I", "I", "I", "I", "I", "I", "I", "I", "I", "I", "I", "I", "I", "I", "I", "I", "I", "I", "I", "I", "I", "I", "I", "I", "I", "I", "I", "I", "I", "I", "I", "I", "I"], "fractional_positions": [[0.750, 0.375, 0.125], [0.875, 0.750, 0.125], [0.375, 0.750, 0.625], [0.250, 0.125, 0.375], [0.875, 0.125, 0.250], [0.375, 0.625, 0.250], [0.625, 0.375, 0.750], [0.125, 0.875, 0.750], [0.750, 0.875, 0.625], [0.625, 0.250, 0.375], [0.125, 0.250, 0.875], [0.250, 0.625, 0.875], [0.125, 0.375, 0.250], [0.000, 0.500, 0.000], [0.000, 0.000, 0.000], [0.375, 0.250, 0.125], [0.500, 0.000, 0.500], [0.500, 0.500, 0.000], [0.125, 0.750, 0.375], [0.750, 0.125, 0.875], [0.750, 0.625, 0.375], [0.375, 0.125, 0.750], [0.625, 0.875, 0.250], [0.500, 0.500, 0.500], [0.500, 0.000, 0.000], [0.000, 0.000, 0.500], [0.250, 0.375, 0.625], [0.250, 0.875, 0.125], [0.000, 0.500, 0.500], [0.875, 0.250, 0.625], [0.625, 0.750, 0.875], [0.875, 0.625, 0.750], [0.718, 0.131, 0.042], [0.325, 0.542, 0.411], [0.958, 0.369, 0.282], [0.542, 0.218, 0.131], [0.587, 0.718, 0.675], [0.958, 0.589, 0.175], [0.325, 0.782, 0.413], [0.089, 0.913, 0.131], [0.589, 0.958, 0.675], [0.718, 0.587, 0.175], [0.782, 0.458, 0.369], [0.825, 0.911, 0.042], [0.131, 0.718, 0.542], [0.369, 0.411, 0.087], [0.087, 0.911, 0.369], [0.413, 0.131, 0.589], [0.087, 0.175, 0.218], [0.458, 0.675, 0.089], [0.825, 0.913, 0.282], [0.131, 0.413, 0.089], [0.369, 0.958, 0.782], [0.589, 0.631, 0.413], [0.911, 0.825, 0.542], [0.782, 0.325, 0.913], [0.411, 0.369, 0.587], [0.089, 0.175, 0.458], [0.218, 0.675, 0.087], [0.175, 0.087, 0.718], [0.631, 0.042, 0.218], [0.869, 0.587, 0.911], [0.542, 0.325, 0.911], [0.587, 0.869, 0.411], [0.913, 0.825, 0.782], [0.913, 0.089, 0.631], [0.869, 0.282, 0.458], [0.175, 0.089, 0.958], [0.631, 0.589, 0.913], [0.411, 0.042, 0.325], [0.282, 0.413, 0.825], [0.218, 0.542, 0.631], [0.911, 0.087, 0.869], [0.675, 0.218, 0.587], [0.458, 0.782, 0.869], [0.042, 0.411, 0.825], [0.413, 0.282, 0.325], [0.042, 0.631, 0.718], [0.675, 0.458, 0.589], [0.282, 0.869, 0.958]]}

=====

Record 12
{"formula": "Pu2CuNi3Ge4", "functional": "PBE-GGA", "state": "optimized geometry", "n_ef_per_ev_cell": 26.0, "magmom_total_mub_per_fu": 10.40, "e_form_ev_per_atom": -0.46, "cell": [[-3.736, 0.274, -1.759], [-1.769, -0.110, 3.740], [0.469, 9.643, 0.504]], "species": ["Pu", "Pu", "Cu", "Ni", "Ni", "Ni", "Ge", "Ge", "Ge", "Ge"], "fractional_positions": [[0.500, 0.000, 0.251], [0.000, 0.500, 0.749], [0.500, 0.500, 0.500], [0.000, 0.000, 0.500], [0.500, 0.000, 0.877], [0.000, 0.500, 0.123], [0.500, 0.500, 0.000], [0.000, 0.000, 0.000], [0.500, 0.000, 0.635], [0.000, 0.500, 0.365]]}

=====

Record 13
{"formula": "InGaTc2", "functional": "PBE-GGA", "state": "optimized geometry", "n_ef_per_ev_cell": 8.8, "magmom_total_mub_per_fu": 0.43, "de_polymorph_mev_per_atom": 354.2, "e_form_ev_per_atom": 0.62, "cell": [[-2.499, 0.526, -6.752], [-3.199, -6.435, 0.683], [-5.076, -1.750, -2.116]], "species": ["Tc", "Tc", "Tc", "Tc", "Ga", "Ga", "In", "In"], "fractional_positions": [[0.591, 0.125, 0.250], [0.159, 0.625, 0.250], [0.375, 0.409, 0.750], [0.875, 0.841, 0.750], [0.500, 0.500, 0.000], [0.250, 0.750, 0.500], [0.000, 0.000, 0.000], [0.750, 0.250, 0.500]]}

=====

Record 14
{"formula": "Er8Ga2Re", "functional": "PBE-GGA", "state": "optimized geometry", "n_ef_per_ev_cell": 9.1, "magmom_total_mub_per_fu": 0.00, "e_form_ev_per_atom": -0.21, "cell": [[-3.992, 2.766, -1.435], [-4.059, -3.782, 4.005], [5.109, 5.427, 5.182]], "species": ["Er", "Er", "Er", "Er", "Er", "Er", "Er", "Er", "Ga", "Ga", "Re"], "fractional_positions": [[0.408, 0.563, 0.816], [0.658, 0.957, 0.316], [0.801, 0.702, 0.603], [0.979, 0.210, 0.959], [0.199, 0.298, 0.397], [0.342, 0.043, 0.684], [0.592, 0.437, 0.184], [0.021, 0.790, 0.041], [0.820, 0.298, 0.640], [0.180, 0.702, 0.360], [0.500, 0.000, 0.000]]}

=====

Record 15
{"formula": "KAl2GeS6", "functional": "PBE-GGA", "state": "optimized geometry", "n_ef_per_ev_cell": 1.0, "magmom_total_mub_per_fu": 1.01, "raw_formation_energy_ev_per_atom": -0.712, "cell": [[7.638, 0.330, 0.342], [2.830, 8.664, -0.393], [2.830, -0.714, 8.643]], "species": ["K", "K", "Al", "Al", "Al", "Al", "Ge", "Ge", "S", "S", "S", "S", "S", "S", "S", "S", "S", "S", "S", "S"], "fractional_positions": [[0.250, 0.861, 0.139], [0.750, 0.139, 0.861], [0.421, 0.758, 0.604], [0.079, 0.396, 0.242], [0.579, 0.242, 0.396], [0.921, 0.604, 0.758], [0.250, 0.182, 0.818], [0.750, 0.818, 0.182], [0.200, 0.951, 0.809], [0.300, 0.191, 0.049], [0.800, 0.049, 0.191], [0.700, 0.809, 0.951], [0.457, 0.850, 0.372], [0.043, 0.628, 0.150], [0.543, 0.150, 0.628], [0.957, 0.372, 0.850], [0.182, 0.654, 0.589], [0.318, 0.411, 0.346], [0.818, 0.346, 0.411], [0.682, 0.589, 0.654]]}

=====

Record 16
{"formula": "TaTcRu2", "functional": "PBE-GGA", "state": "optimized geometry", "n_ef_per_ev_cell": 4.9, "magmom_total_mub_per_fu": 0.00, "de_polymorph_mev_per_atom": 240.5, "e_form_ev_per_atom": 0.12, "cell": [[9.284, 0.008, 0.005], [8.867, 2.751, 0.005], [8.867, 1.348, 2.398]], "species": ["Ru", "Ru", "Ta", "Tc"], "fractional_positions": [[0.001, 0.001, 0.001], [0.253, 0.253, 0.253], [0.501, 0.501, 0.501], [0.745, 0.745, 0.745]]}

=====

Record 17
{"formula": "Co4NiW", "functional": "PBE-GGA", "state": "optimized geometry", "n_ef_per_ev_cell": 6.3, "magmom_total_mub_per_fu": 3.22, "de_polymorph_mev_per_atom": 3.1, "e_form_ev_per_atom": 0.09, "cell": [[-2.217, 2.871, 1.663], [-1.764, -3.062, -1.853], [-0.081, -2.561, 4.310]], "species": ["Co", "Co", "Co", "Co", "Ni", "W"], "fractional_positions": [[0.333, 0.167, 0.760], [0.667, 0.833, 0.760], [0.333, 0.167, 0.240], [0.667, 0.833, 0.240], [0.000, 0.500, 0.000], [0.000, 0.500, 0.500]]}

=====

Record 18
{"formula": "LiThTlAg", "functional": "PBE-GGA", "state": "optimized geometry", "n_ef_per_ev_cell": 2.2, "magmom_total_mub_per_fu": 0.00, "e_form_ev_per_atom": -0.11, "cell": [[-4.906, -1.293, 0.967], [-2.802, -2.392, -3.620], [-1.292, -4.965, 0.597]], "species": ["Tl", "Ag", "Th", "Li"], "fractional_positions": [[0.500, 0.500, 0.500], [0.000, 0.000, 0.000], [0.750, 0.750, 0.750], [0.250, 0.250, 0.250]]}

=====

Record 19
{"formula": "CsGaHg2Te4", "functional": "PBE-GGA", "state": "optimized geometry", "magmom_total_mub_per_fu": 0.00, "raw_formation_energy_ev_per_atom": -0.435, "cell": [[7.247, 0.000, 0.000], [3.623, 6.734, -0.625], [3.623, 0.124, 6.762]], "species": ["Cs", "Ga", "Hg", "Hg", "Te", "Te", "Te", "Te"], "fractional_positions": [[0.000, 0.000, 0.000], [0.000, 0.500, 0.500], [0.500, 0.669, 0.331], [0.500, 0.331, 0.669], [0.621, 0.521, 0.830], [0.379, 0.170, 0.479], [0.972, 0.479, 0.170], [0.028, 0.830, 0.521]]}